Entry from the Alexandria database: crystalline Zr3Pd2Pt8 at its relaxed geometry (GGA-PBE).

extended XYZ file:
```
13
Lattice="-0.1251 4.3105 2.9596 -2.7514 0.0393 4.4479 7.0662 -1.7451 7.4615" Properties=species:S:1:pos:R:3 pbc="T T T"
Zr 0.0000 0.0000 0.0000
Zr 1.6433 2.5503 10.2193
Zr 2.5464 0.0544 4.6498
Pd -1.2275 2.6251 5.3677
Pd 5.4172 -0.0204 9.5013
Pt 3.7903 1.6956 11.5549
Pt 0.3995 0.9092 3.3142
Pt 0.1971 0.4609 6.2680
Pt 1.5109 2.5975 5.5236
Pt 0.1346 2.6172 7.7486
Pt 2.6788 0.0072 9.3455
Pt 3.9926 2.1438 8.6010
Pt 4.0552 -0.0125 7.1204
```

Properties
The formation enthalpy at 0 K is -0.50 eV/atom. As for the calculated total energy: -90.92 eV for the cell shown.

=====

Entry from the Alexandria database: crystalline ZrPd6Pt5 at its relaxed geometry (GGA-PBE).

extended XYZ file:
```
12
Lattice="3.7900 -0.0037 -1.2185 -2.5331 6.8741 -1.3963 0.2948 -0.6617 7.4226" Properties=species:S:1:pos:R:3 pbc="T T T"
Pt 1.7187 0.5920 5.3441
Pt -0.6620 1.8880 4.4388
Pt 0.7759 3.1044 2.4039
Pt -1.5763 4.3244 1.5875
Pt -0.1669 5.6168 -0.5363
Pd 0.8598 0.2795 2.6736
Pd 1.6403 3.4021 5.0917
Pd 2.2783 1.5322 0.5787
Pd -0.7266 4.6765 4.2291
Pd -0.0886 2.8066 -0.2838
Pd 0.6920 5.9293 2.1343
Zr 0.0000 0.0000 0.0000
```

Properties
The formation enthalpy at 0 K is -0.33 eV/atom. As for the calculated total energy: -73.89 eV for the cell shown.